Model a:
# GGA-PBE CoNiOs2, optimized geometry
data_CoNiOs2
_space_group_name_H-M_alt 'P 4 m m'
_space_group_IT_number 99
_space_group_name_Hall 'P 4 -2'
_cell_length_a 2.682
_cell_length_b 2.682
_cell_length_c 7.093
_cell_angle_alpha 90.00
_cell_angle_beta 90.00
_cell_angle_gamma 90.00
loop_
_atom_site_label
_atom_site_type_symbol
_atom_site_fract_x
_atom_site_fract_y
_atom_site_fract_z
_atom_site_occupancy
Co1 Co 0.000 0.000 0.000 1
Ni1 Ni 0.500 0.500 0.230 1
Os1 Os 0.000 0.000 0.484 1
Os2 Os 0.500 0.500 0.752 1
# Crystal system = tetragonal

***

Model b:
# GGA-PBE CoNiOs2, optimized geometry
data_CoNiOs2
_space_group_name_H-M_alt 'I -4 2 d'
_space_group_IT_number 122
_space_group_name_Hall 'I -4 2bw'
_cell_length_a 5.220
_cell_length_b 5.220
_cell_length_c 10.440
_cell_angle_alpha 90.00
_cell_angle_beta 90.00
_cell_angle_gamma 90.00
loop_
_atom_site_label
_atom_site_type_symbol
_atom_site_fract_x
_atom_site_fract_y
_atom_site_fract_z
_atom_site_occupancy
Co1 Co 0.000 0.000 0.000 1
Ni1 Ni 0.000 0.000 0.500 1
Os1 Os 0.243 0.250 0.125 1
# Crystal system = tetragonal

***

Model c:
# GGA-PBE CoNiOs2, optimized geometry
data_CoNiOs2
_space_group_name_H-M_alt 'F -4 3 m'
_space_group_IT_number 216
_space_group_name_Hall 'F -4 2 3'
_cell_length_a 5.934
_cell_length_b 5.934
_cell_length_c 5.934
_cell_angle_alpha 90.00
_cell_angle_beta 90.00
_cell_angle_gamma 90.00
loop_
_atom_site_label
_atom_site_type_symbol
_atom_site_fract_x
_atom_site_fract_y
_atom_site_fract_z
_atom_site_occupancy
Co1 Co 0.000 0.000 0.000 1
Ni1 Ni 0.250 0.250 0.250 1
Os1 Os 0.000 0.000 0.500 1
Os2 Os 0.250 0.250 0.750 1
# Crystal system = cubic

***

Model d:
# GGA-PBE CoNiOs2, optimized geometry
data_CoNiOs2
_space_group_name_H-M_alt 'P m m m'
_space_group_IT_number 47
_space_group_name_Hall '-P 2 2'
_cell_length_a 2.629
_cell_length_b 3.685
_cell_length_c 5.211
_cell_angle_alpha 90.00
_cell_angle_beta 90.00
_cell_angle_gamma 90.00
loop_
_atom_site_label
_atom_site_type_symbol
_atom_site_fract_x
_atom_site_fract_y
_atom_site_fract_z
_atom_site_occupancy
Co1 Co 0.000 0.000 0.000 1
Ni1 Ni 0.000 0.000 0.500 1
Os1 Os 0.500 0.500 0.249 1
# Crystal system = orthorhombic

***

model a has the most favorable energy; the next structure is 16 meV/atom above.

***

Model a:
# GGA-PBE CoNiOs2, optimized geometry
data_CoNiOs2
_space_group_name_H-M_alt 'F m -3 m'
_space_group_IT_number 225
_space_group_name_Hall '-F 4 2 3'
_cell_length_a 5.869
_cell_length_b 5.869
_cell_length_c 5.869
_cell_angle_alpha 90.00
_cell_angle_beta 90.00
_cell_angle_gamma 90.00
loop_
_atom_site_label
_atom_site_type_symbol
_atom_site_fract_x
_atom_site_fract_y
_atom_site_fract_z
_atom_site_occupancy
Co1 Co 0.000 0.000 0.000 1
Ni1 Ni 0.000 0.000 0.500 1
Os1 Os 0.250 0.250 0.250 1
# Crystal system = cubic

***

Model b:
# GGA-PBE CoNiOs2, optimized geometry
data_CoNiOs2
_space_group_name_H-M_alt 'C m m m'
_space_group_IT_number 65
_space_group_name_Hall '-C 2 2'
_cell_length_a 2.710
_cell_length_b 4.452
_cell_length_c 8.738
_cell_angle_alpha 90.00
_cell_angle_beta 90.00
_cell_angle_gamma 90.00
loop_
_atom_site_label
_atom_site_type_symbol
_atom_site_fract_x
_atom_site_fract_y
_atom_site_fract_z
_atom_site_occupancy
Co1 Co 0.000 0.000 0.000 1
Ni1 Ni 0.000 0.000 0.500 1
Os1 Os 0.000 0.500 0.249 1
# Crystal system = orthorhombic

***

Model c:
# GGA-PBE CoNiOs2, optimized geometry
data_CoNiOs2
_space_group_name_H-M_alt 'P m m 2'
_space_group_IT_number 25
_space_group_name_Hall 'P 2 -2'
_cell_length_a 2.677
_cell_length_b 3.696
_cell_length_c 5.143
_cell_angle_alpha 90.00
_cell_angle_beta 90.00
_cell_angle_gamma 90.00
loop_
_atom_site_label
_atom_site_type_symbol
_atom_site_fract_x
_atom_site_fract_y
_atom_site_fract_z
_atom_site_occupancy
Co1 Co 0.000 0.000 0.000 1
Ni1 Ni 0.500 0.500 0.229 1
Os1 Os 0.000 0.000 0.488 1
Os2 Os 0.500 0.500 0.742 1
# Crystal system = orthorhombic

***

Model d:
# GGA-PBE CoNiOs2, optimized geometry
data_CoNiOs2
_space_group_name_H-M_alt 'C m m m'
_space_group_IT_number 65
_space_group_name_Hall '-C 2 2'
_cell_length_a 5.236
_cell_length_b 7.355
_cell_length_c 2.624
_cell_angle_alpha 90.00
_cell_angle_beta 90.00
_cell_angle_gamma 90.00
loop_
_atom_site_label
_atom_site_type_symbol
_atom_site_fract_x
_atom_site_fract_y
_atom_site_fract_z
_atom_site_occupancy
Co1 Co 0.000 0.000 0.000 1
Ni1 Ni 0.000 0.500 0.000 1
Os1 Os 0.250 0.250 0.500 1
# Crystal system = orthorhombic

***

model c has the most favorable energy; the next structure is 87 meV/atom above.

***

Model a:
# GGA-PBE Co2Ni2Os, optimized geometry
data_Co2Ni2Os
_space_group_name_H-M_alt 'P 4/m b m'
_space_group_IT_number 127
_space_group_name_Hall '-P 4 2ab'
_cell_length_a 6.802
_cell_length_b 6.802
_cell_length_c 2.558
_cell_angle_alpha 90.00
_cell_angle_beta 90.00
_cell_angle_gamma 90.00
loop_
_atom_site_label
_atom_site_type_symbol
_atom_site_fract_x
_atom_site_fract_y
_atom_site_fract_z
_atom_site_occupancy
Co1 Co 0.120 0.380 0.000 1
Ni1 Ni 0.178 0.678 0.500 1
Os1 Os 0.000 0.000 0.000 1
# Crystal system = tetragonal

***

Model b:
# GGA-PBE Co2Ni2Os, optimized geometry
data_Co2Ni2Os
_space_group_name_H-M_alt 'P 4/m b m'
_space_group_IT_number 127
_space_group_name_Hall '-P 4 2ab'
_cell_length_a 6.790
_cell_length_b 6.790
_cell_length_c 2.555
_cell_angle_alpha 90.00
_cell_angle_beta 90.00
_cell_angle_gamma 90.00
loop_
_atom_site_label
_atom_site_type_symbol
_atom_site_fract_x
_atom_site_fract_y
_atom_site_fract_z
_atom_site_occupancy
Co1 Co 0.175 0.325 0.000 1
Ni1 Ni 0.123 0.623 0.500 1
Os1 Os 0.000 0.000 0.500 1
# Crystal system = tetragonal

***

model b has the most favorable energy; the next structure is 33 meV/atom above.

***

Model a:
# GGA-PBE CoNiOs, optimized geometry
data_CoNiOs
_space_group_name_H-M_alt 'F m m 2'
_space_group_IT_number 42
_space_group_name_Hall 'F 2 -2'
_cell_length_a 2.768
_cell_length_b 4.329
_cell_length_c 12.670
_cell_angle_alpha 90.00
_cell_angle_beta 90.00
_cell_angle_gamma 90.00
loop_
_atom_site_label
_atom_site_type_symbol
_atom_site_fract_x
_atom_site_fract_y
_atom_site_fract_z
_atom_site_occupancy
Co1 Co 0.000 0.000 0.000 1
Ni1 Ni 0.000 0.000 0.659 1
Os1 Os 0.000 0.000 0.330 1
# Crystal system = orthorhombic

***

Model b:
# GGA-PBE CoNiOs, optimized geometry
data_CoNiOs
_space_group_name_H-M_alt 'I m m 2'
_space_group_IT_number 44
_space_group_name_Hall 'I 2 -2'
_cell_length_a 2.607
_cell_length_b 3.615
_cell_length_c 7.568
_cell_angle_alpha 90.00
_cell_angle_beta 90.00
_cell_angle_gamma 90.00
loop_
_atom_site_label
_atom_site_type_symbol
_atom_site_fract_x
_atom_site_fract_y
_atom_site_fract_z
_atom_site_occupancy
Co1 Co 0.000 0.000 0.000 1
Ni1 Ni 0.000 0.000 0.670 1
Os1 Os 0.000 0.000 0.338 1
# Crystal system = orthorhombic

***

model b has the most favorable energy; the next structure is 275 meV/atom above.

***

Model a:
# GGA-PBE CoNiOs, optimized geometry
data_CoNiOs
_space_group_name_H-M_alt 'F -4 3 m'
_space_group_IT_number 216
_space_group_name_Hall 'F -4 2 3'
_cell_length_a 5.456
_cell_length_b 5.456
_cell_length_c 5.456
_cell_angle_alpha 90.00
_cell_angle_beta 90.00
_cell_angle_gamma 90.00
loop_
_atom_site_label
_atom_site_type_symbol
_atom_site_fract_x
_atom_site_fract_y
_atom_site_fract_z
_atom_site_occupancy
Co1 Co 0.000 0.000 0.000 1
Ni1 Ni 0.250 0.250 0.750 1
Os1 Os 0.250 0.250 0.250 1
# Crystal system = cubic

***

Model b:
# GGA-PBE CoNiOs, optimized geometry
data_CoNiOs
_space_group_name_H-M_alt 'I 4 m m'
_space_group_IT_number 107
_space_group_name_Hall 'I 4 -2'
_cell_length_a 2.617
_cell_length_b 2.617
_cell_length_c 10.569
_cell_angle_alpha 90.00
_cell_angle_beta 90.00
_cell_angle_gamma 90.00
loop_
_atom_site_label
_atom_site_type_symbol
_atom_site_fract_x
_atom_site_fract_y
_atom_site_fract_z
_atom_site_occupancy
Co1 Co 0.000 0.000 0.000 1
Ni1 Ni 0.000 0.000 0.666 1
Os1 Os 0.000 0.000 0.338 1
# Crystal system = tetragonal

***

Model c:
# GGA-PBE CoNiOs, optimized geometry
data_CoNiOs
_space_group_name_H-M_alt 'P -6 m 2'
_space_group_IT_number 187
_space_group_name_Hall 'P -6 2'
_cell_length_a 4.0255
_cell_length_b 4.0255
_cell_length_c 2.5308
_cell_angle_alpha 90.00
_cell_angle_beta 90.00
_cell_angle_gamma 120.00
loop_
_atom_site_label
_atom_site_type_symbol
_atom_site_fract_x
_atom_site_fract_y
_atom_site_fract_z
_atom_site_occupancy
Co1 Co 0.0000 0.0000 0.0000 1
Ni1 Ni 0.3333 0.6667 0.0000 1
Os1 Os 0.6667 0.3333 0.5000 1
# Crystal system = hexagonal

***

Model d:
# GGA-PBE CoNiOs, optimized geometry
data_CoNiOs
_space_group_name_H-M_alt 'P 3 m 1'
_space_group_IT_number 156
_space_group_name_Hall 'P 3 -2"'
_cell_length_a 2.6242
_cell_length_b 2.6242
_cell_length_c 6.2149
_cell_angle_alpha 90.00
_cell_angle_beta 90.00
_cell_angle_gamma 120.00
loop_
_atom_site_label
_atom_site_type_symbol
_atom_site_fract_x
_atom_site_fract_y
_atom_site_fract_z
_atom_site_occupancy
Co1 Co 0.0000 0.0000 0.0000 1
Ni1 Ni 0.6667 0.3333 0.3243 1
Os1 Os 0.3333 0.6667 0.6672 1
# Crystal system = trigonal

***

model c has the most favorable energy; the next structure is 13 meV/atom above.

***

Model a:
# GGA-PBE CoNiOs3, optimized geometry
data_CoNiOs3
_space_group_name_H-M_alt 'P m -3 m'
_space_group_IT_number 221
_space_group_name_Hall '-P 4 2 3'
_cell_length_a 4.351
_cell_length_b 4.351
_cell_length_c 4.351
_cell_angle_alpha 90.00
_cell_angle_beta 90.00
_cell_angle_gamma 90.00
loop_
_atom_site_label
_atom_site_type_symbol
_atom_site_fract_x
_atom_site_fract_y
_atom_site_fract_z
_atom_site_occupancy
Co1 Co 0.000 0.000 0.000 1
Ni1 Ni 0.500 0.500 0.500 1
Os1 Os 0.000 0.500 0.500 1
# Crystal system = cubic

***

Model b:
# GGA-PBE CoNiOs3, optimized geometry
data_CoNiOs3
_space_group_name_H-M_alt 'P m -3 m'
_space_group_IT_number 221
_space_group_name_Hall '-P 4 2 3'
_cell_length_a 4.359
_cell_length_b 4.359
_cell_length_c 4.359
_cell_angle_alpha 90.00
_cell_angle_beta 90.00
_cell_angle_gamma 90.00
loop_
_atom_site_label
_atom_site_type_symbol
_atom_site_fract_x
_atom_site_fract_y
_atom_site_fract_z
_atom_site_occupancy
Co1 Co 0.000 0.000 0.000 1
Ni1 Ni 0.500 0.500 0.500 1
Os1 Os 0.000 0.000 0.500 1
# Crystal system = cubic

***

model b has the most favorable energy; the next structure is 153 meV/atom above.

***

Model a:
# GGA-PBE CoNi3P, optimized geometry
data_CoNi3P
_space_group_name_H-M_alt 'P m -3 m'
_space_group_IT_number 221
_space_group_name_Hall '-P 4 2 3'
_cell_length_a 4.236
_cell_length_b 4.236
_cell_length_c 4.236
_cell_angle_alpha 90.00
_cell_angle_beta 90.00
_cell_angle_gamma 90.00
loop_
_atom_site_label
_atom_site_type_symbol
_atom_site_fract_x
_atom_site_fract_y
_atom_site_fract_z
_atom_site_occupancy
Co1 Co 0.000 0.000 0.000 1
Ni1 Ni 0.000 0.000 0.500 1
P1 P 0.500 0.500 0.500 1
# Crystal system = cubic

***

Model b:
# GGA-PBE CoNi3P, optimized geometry
data_CoNi3P
_space_group_name_H-M_alt 'P m -3 m'
_space_group_IT_number 221
_space_group_name_Hall '-P 4 2 3'
_cell_length_a 4.106
_cell_length_b 4.106
_cell_length_c 4.106
_cell_angle_alpha 90.00
_cell_angle_beta 90.00
_cell_angle_gamma 90.00
loop_
_atom_site_label
_atom_site_type_symbol
_atom_site_fract_x
_atom_site_fract_y
_atom_site_fract_z
_atom_site_occupancy
Co1 Co 0.000 0.000 0.000 1
Ni1 Ni 0.000 0.500 0.500 1
P1 P 0.500 0.500 0.500 1
# Crystal system = cubic

***

model b has the most favorable energy; the next structure is 749 meV/atom above.

***

Model a:
# GGA-PBE Co2Ni2P, optimized geometry
data_Co2Ni2P
_space_group_name_H-M_alt 'I 4/m m m'
_space_group_IT_number 139
_space_group_name_Hall '-I 4 2'
_cell_length_a 3.112
_cell_length_b 3.112
_cell_length_c 12.693
_cell_angle_alpha 90.00
_cell_angle_beta 90.00
_cell_angle_gamma 90.00
loop_
_atom_site_label
_atom_site_type_symbol
_atom_site_fract_x
_atom_site_fract_y
_atom_site_fract_z
_atom_site_occupancy
Co1 Co 0.000 0.500 0.250 1
Ni1 Ni 0.000 0.000 0.094 1
P1 P 0.000 0.000 0.500 1
# Crystal system = tetragonal

***

Model b:
# GGA-PBE Co2Ni2P, optimized geometry
data_Co2Ni2P
_space_group_name_H-M_alt 'P 4/m b m'
_space_group_IT_number 127
_space_group_name_Hall '-P 4 2ab'
_cell_length_a 5.534
_cell_length_b 5.534
_cell_length_c 3.778
_cell_angle_alpha 90.00
_cell_angle_beta 90.00
_cell_angle_gamma 90.00
loop_
_atom_site_label
_atom_site_type_symbol
_atom_site_fract_x
_atom_site_fract_y
_atom_site_fract_z
_atom_site_occupancy
Co1 Co 0.145 0.355 0.000 1
Ni1 Ni 0.158 0.658 0.500 1
P1 P 0.000 0.000 0.000 1
# Crystal system = tetragonal

***

Model c:
# GGA-PBE Co2Ni2P, optimized geometry
data_Co2Ni2P
_space_group_name_H-M_alt 'P 4/m b m'
_space_group_IT_number 127
_space_group_name_Hall '-P 4 2ab'
_cell_length_a 5.613
_cell_length_b 5.613
_cell_length_c 3.757
_cell_angle_alpha 90.00
_cell_angle_beta 90.00
_cell_angle_gamma 90.00
loop_
_atom_site_label
_atom_site_type_symbol
_atom_site_fract_x
_atom_site_fract_y
_atom_site_fract_z
_atom_site_occupancy
Co1 Co 0.153 0.347 0.000 1
Ni1 Ni 0.148 0.648 0.500 1
P1 P 0.000 0.000 0.500 1
# Crystal system = tetragonal

***

model b has the most favorable energy; the next structure is 79 meV/atom above.

***

Model a:
# GGA-PBE Pa3Co5Ni, optimized geometry
data_Pa3Co5Ni
_space_group_name_H-M_alt 'P -6 2 m'
_space_group_IT_number 189
_space_group_name_Hall 'P -6 -2'
_cell_length_a 6.7021
_cell_length_b 6.7021
_cell_length_c 3.5973
_cell_angle_alpha 90.00
_cell_angle_beta 90.00
_cell_angle_gamma 120.00
loop_
_atom_site_label
_atom_site_type_symbol
_atom_site_fract_x
_atom_site_fract_y
_atom_site_fract_z
_atom_site_occupancy
Pa1 Pa 0.0000 0.6101 0.0000 1
Co1 Co 0.0000 0.2358 0.5000 1
Co2 Co 0.3333 0.6667 0.5000 1
Ni1 Ni 0.0000 0.0000 0.0000 1
# Crystal system = hexagonal

***

Model b:
# GGA-PBE Pa3Co5Ni, optimized geometry
data_Pa3Co5Ni
_space_group_name_H-M_alt 'I 4/m c m'
_space_group_IT_number 140
_space_group_name_Hall '-I 4 2c'
_cell_length_a 7.779
_cell_length_b 7.779
_cell_length_c 9.788
_cell_angle_alpha 90.00
_cell_angle_beta 90.00
_cell_angle_gamma 90.00
loop_
_atom_site_label
_atom_site_type_symbol
_atom_site_fract_x
_atom_site_fract_y
_atom_site_fract_z
_atom_site_occupancy
Pa1 Pa 0.000 0.000 0.250 1
Pa2 Pa 0.140 0.360 0.000 1
Co1 Co 0.000 0.000 0.000 1
Co2 Co 0.193 0.307 0.358 1
Ni1 Ni 0.000 0.500 0.250 1
# Crystal system = tetragonal

***

model a has the most favorable energy; the next structure is 267 meV/atom above.

***

Model a:
# GGA-PBE PaCoNiPt, optimized geometry
data_PaCoNiPt
_space_group_name_H-M_alt 'F -4 3 m'
_space_group_IT_number 216
_space_group_name_Hall 'F -4 2 3'
_cell_length_a 6.295
_cell_length_b 6.295
_cell_length_c 6.295
_cell_angle_alpha 90.00
_cell_angle_beta 90.00
_cell_angle_gamma 90.00
loop_
_atom_site_label
_atom_site_type_symbol
_atom_site_fract_x
_atom_site_fract_y
_atom_site_fract_z
_atom_site_occupancy
Pa1 Pa 0.000 0.000 0.000 1
Co1 Co 0.250 0.250 0.250 1
Ni1 Ni 0.250 0.250 0.750 1
Pt1 Pt 0.000 0.000 0.500 1
# Crystal system = cubic

***

Model b:
# GGA-PBE PaCoNiPt, optimized geometry
data_PaCoNiPt
_space_group_name_H-M_alt 'P m m m'
_space_group_IT_number 47
_space_group_name_Hall '-P 2 2'
_cell_length_a 3.781
_cell_length_b 3.936
_cell_length_c 4.174
_cell_angle_alpha 90.00
_cell_angle_beta 90.00
_cell_angle_gamma 90.00
loop_
_atom_site_label
_atom_site_type_symbol
_atom_site_fract_x
_atom_site_fract_y
_atom_site_fract_z
_atom_site_occupancy
Pa1 Pa 0.000 0.000 0.000 1
Co1 Co 0.500 0.500 0.000 1
Ni1 Ni 0.500 0.000 0.500 1
Pt1 Pt 0.000 0.500 0.500 1
# Crystal system = orthorhombic

***

model b has the most favorable energy; the next structure is 169 meV/atom above.